{
  "formula": "UGa2Br7",
  "functional": "PBE",
  "state": "relaxed",
  "sg": "C2/c, No. 15",
  "rho_kg_m3": 3416,
  "raw_formation_energy_kj_per_mol_atoms": -91.1,
  "m_tot_mub_per_cell": 2.00,
  "lattice_angstrom": [[7.927, -5.578, 0.000], [7.927, 5.578, 0.000], [-7.103, 0.000, 10.300]],
  "species": ["U", "U", "Ga", "Ga", "Ga", "Ga", "Br", "Br", "Br", "Br", "Br", "Br", "Br", "Br", "Br", "Br", "Br", "Br", "Br", "Br"],
  "frac_coords": [[0.242, 0.758, 0.750], [0.758, 0.242, 0.250], [0.369, 0.539, 0.064], [0.461, 0.631, 0.436], [0.539, 0.369, 0.564], [0.631, 0.461, 0.936], [0.057, 0.213, 0.287], [0.169, 0.667, 0.492], [0.213, 0.057, 0.787], [0.259, 0.741, 0.250], [0.293, 0.446, 0.718], [0.333, 0.831, 0.008], [0.446, 0.293, 0.218], [0.554, 0.707, 0.782], [0.667, 0.169, 0.992], [0.707, 0.554, 0.282], [0.741, 0.259, 0.750], [0.787, 0.943, 0.213], [0.831, 0.333, 0.508], [0.943, 0.787, 0.713]]
}

---

{
  "formula": "NaBe2BRh",
  "functional": "PBE",
  "state": "relaxed",
  "sg": "P4/mmm, No. 123",
  "rho_kg_m3": 3438,
  "ef_mev_per_atom": 258,
  "dos_at_fermi_per_ev_cell": 1.50,
  "m_tot_mub_per_cell": 0.00,
  "lattice_angstrom": [[4.290, 0.000, 0.000], [0.000, 4.290, 0.000], [0.000, 0.000, 4.061]],
  "species": ["Na", "Be", "Be", "B", "Rh"],
  "frac_coords": [[0.000, 0.000, 0.000], [0.000, 0.500, 0.500], [0.500, 0.000, 0.500], [0.500, 0.500, 0.000], [0.500, 0.500, 0.500]]
}

---

{
  "formula": "Tb2Pm4PrDy",
  "functional": "PBE",
  "state": "relaxed",
  "sg": "P2/m, No. 10",
  "rho_kg_m3": 7421,
  "ef_mev_per_atom": 16,
  "dos_at_fermi_per_ev_cell": 11.51,
  "m_tot_mub_per_cell": 0.00,
  "lattice_angstrom": [[6.263, 0.000, 0.000], [0.000, 3.630, 0.000], [-2.124, 0.000, 11.821]],
  "species": ["Tb", "Tb", "Pm", "Pm", "Pm", "Pm", "Pr", "Dy"],
  "frac_coords": [[0.000, 0.000, 0.000], [0.000, 0.500, 0.500], [0.248, 0.000, 0.747], [0.250, 0.500, 0.252], [0.750, 0.500, 0.748], [0.752, 0.000, 0.253], [0.500, 0.500, 0.000], [0.500, 0.000, 0.500]]
}

---

{
  "formula": "Ac3Ce2Tl7",
  "functional": "PBE",
  "state": "relaxed",
  "sg": "Cmmm, No. 65",
  "rho_kg_m3": 9571,
  "ef_mev_per_atom": -122,
  "dos_at_fermi_per_ev_cell": 21.96,
  "m_tot_mub_per_cell": 2.59,
  "lattice_angstrom": [[2.741, -12.407, 0.000], [2.741, 12.407, 0.000], [0.000, 0.000, 6.102]],
  "species": ["Ac", "Ac", "Ac", "Ce", "Ce", "Tl", "Tl", "Tl", "Tl", "Tl", "Tl", "Tl"],
  "frac_coords": [[0.000, 0.000, 0.000], [0.172, 0.828, 0.000], [0.828, 0.172, 0.000], [0.359, 0.641, 0.500], [0.641, 0.359, 0.500], [0.073, 0.927, 0.500], [0.225, 0.775, 0.500], [0.413, 0.587, 0.000], [0.500, 0.500, 0.500], [0.587, 0.413, 0.000], [0.775, 0.225, 0.500], [0.927, 0.073, 0.500]]
}

---

{
  "formula": "Ho6UO12",
  "functional": "PBE",
  "state": "relaxed",
  "sg": "R-3, No. 148",
  "rho_kg_m3": 8769,
  "raw_formation_energy_kj_per_mol_atoms": -345.1,
  "dos_at_fermi_per_ev_cell": 0.00,
  "m_tot_mub_per_cell": 0.00,
  "lattice_angstrom": [[4.981, 2.876, 3.128], [-4.981, 2.876, 3.128], [0.000, -5.751, 3.128]],
  "species": ["Ho", "Ho", "Ho", "Ho", "Ho", "Ho", "U", "O", "O", "O", "O", "O", "O", "O", "O", "O", "O", "O", "O"],
  "frac_coords": [[0.110, 0.823, 0.645], [0.177, 0.355, 0.890], [0.355, 0.890, 0.177], [0.645, 0.110, 0.823], [0.823, 0.645, 0.110], [0.890, 0.177, 0.355], [0.500, 0.500, 0.500], [0.073, 0.913, 0.322], [0.087, 0.678, 0.927], [0.191, 0.419, 0.548], [0.322, 0.073, 0.913], [0.419, 0.548, 0.191], [0.452, 0.809, 0.581], [0.548, 0.191, 0.419], [0.581, 0.452, 0.809], [0.678, 0.927, 0.087], [0.809, 0.581, 0.452], [0.913, 0.322, 0.073], [0.927, 0.087, 0.678]]
}

---

{
  "formula": "AcZrPO2",
  "functional": "PBE",
  "state": "relaxed",
  "sg": "P4mm, No. 99",
  "rho_kg_m3": 6359,
  "raw_formation_energy_kj_per_mol_atoms": -249.0,
  "dos_at_fermi_per_ev_cell": 0.00,
  "m_tot_mub_per_cell": 0.00,
  "lattice_angstrom": [[4.107, 0.000, 0.000], [0.000, 4.107, 0.000], [0.000, 0.000, 5.901]],
  "species": ["Ac", "Zr", "P", "O", "O"],
  "frac_coords": [[0.000, 0.000, 0.000], [0.500, 0.500, 0.386], [0.500, 0.500, 0.808], [0.000, 0.500, 0.284], [0.500, 0.000, 0.284]]
}

---

{
  "formula": "LaHo6Se8",
  "functional": "PBE",
  "state": "relaxed",
  "sg": "R-3, No. 148",
  "rho_kg_m3": 6481,
  "raw_formation_energy_kj_per_mol_atoms": -147.2,
  "dos_at_fermi_per_ev_cell": 12.46,
  "de_polymorph_mev_per_atom": 288,
  "m_tot_mub_per_cell": 0.13,
  "lattice_angstrom": [[5.517, 3.185, 4.277], [-5.517, 3.185, 4.277], [0.000, -6.371, 4.277]],
  "species": ["La", "Ho", "Ho", "Ho", "Ho", "Ho", "Ho", "Se", "Se", "Se", "Se", "Se", "Se", "Se", "Se"],
  "frac_coords": [[0.000, 0.000, 0.000], [0.191, 0.405, 0.566], [0.405, 0.566, 0.191], [0.434, 0.809, 0.595], [0.566, 0.191, 0.405], [0.595, 0.434, 0.809], [0.809, 0.595, 0.434], [0.137, 0.732, 0.365], [0.236, 0.236, 0.236], [0.268, 0.635, 0.863], [0.365, 0.137, 0.732], [0.635, 0.863, 0.268], [0.732, 0.365, 0.137], [0.764, 0.764, 0.764], [0.863, 0.268, 0.635]]
}

---

{
  "formula": "Cd3HgPb6",
  "functional": "PBE",
  "state": "relaxed",
  "sg": "P2_1/m, No. 11",
  "rho_kg_m3": 9870,
  "ef_mev_per_atom": 69,
  "dos_at_fermi_per_ev_cell": 8.02,
  "de_polymorph_mev_per_atom": 19,
  "m_tot_mub_per_cell": 0.00,
  "lattice_angstrom": [[10.100, 0.000, 0.000], [0.000, 5.009, 0.000], [-4.208, 0.000, 11.845]],
  "species": ["Cd", "Cd", "Cd", "Cd", "Cd", "Cd", "Hg", "Hg", "Pb", "Pb", "Pb", "Pb", "Pb", "Pb", "Pb", "Pb", "Pb", "Pb", "Pb", "Pb"],
  "frac_coords": [[0.140, 0.250, 0.347], [0.244, 0.250, 0.011], [0.350, 0.750, 0.427], [0.650, 0.250, 0.573], [0.756, 0.750, 0.989], [0.860, 0.750, 0.653], [0.314, 0.750, 0.811], [0.686, 0.250, 0.189], [0.042, 0.750, 0.920], [0.083, 0.250, 0.739], [0.116, 0.750, 0.544], [0.361, 0.250, 0.626], [0.404, 0.250, 0.273], [0.454, 0.750, 0.083], [0.546, 0.250, 0.917], [0.596, 0.750, 0.727], [0.639, 0.750, 0.374], [0.884, 0.250, 0.456], [0.917, 0.750, 0.261], [0.958, 0.250, 0.080]]
}

---

{
  "formula": "InTc5",
  "functional": "PBE",
  "state": "relaxed",
  "sg": "Amm2, No. 38",
  "rho_kg_m3": 10833,
  "ef_mev_per_atom": 142,
  "dos_at_fermi_per_ev_cell": 11.22,
  "de_polymorph_mev_per_atom": 1,
  "m_tot_mub_per_cell": 0.00,
  "lattice_angstrom": [[4.457, 0.000, 0.000], [0.000, 2.831, 0.000], [0.000, 0.000, 14.695]],
  "species": ["In", "In", "Tc", "Tc", "Tc", "Tc", "Tc", "Tc", "Tc", "Tc", "Tc", "Tc"],
  "frac_coords": [[0.000, 0.000, 0.000], [0.000, 0.500, 0.500], [0.000, 0.000, 0.326], [0.000, 0.000, 0.672], [0.000, 0.500, 0.172], [0.000, 0.500, 0.826], [0.500, 0.000, 0.228], [0.500, 0.000, 0.567], [0.500, 0.000, 0.885], [0.500, 0.500, 0.067], [0.500, 0.500, 0.385], [0.500, 0.500, 0.728]]
}

---

{
  "formula": "Pr4In21Pd10",
  "functional": "PBE",
  "state": "relaxed",
  "sg": "C2/m, No. 12",
  "rho_kg_m3": 8706,
  "ef_mev_per_atom": -534,
  "dos_at_fermi_per_ev_cell": 13.86,
  "m_tot_mub_per_cell": 0.00,
  "lattice_angstrom": [[11.722, -2.305, 0.000], [11.722, 2.305, 0.000], [-9.671, 0.000, 14.257]],
  "species": ["Pr", "Pr", "Pr", "Pr", "In", "In", "In", "In", "In", "In", "In", "In", "In", "In", "In", "In", "In", "In", "In", "In", "In", "In", "In", "In", "In", "Pd", "Pd", "Pd", "Pd", "Pd", "Pd", "Pd", "Pd", "Pd", "Pd"],
  "frac_coords": [[0.123, 0.123, 0.335], [0.229, 0.229, 0.826], [0.771, 0.771, 0.174], [0.877, 0.877, 0.665], [0.010, 0.010, 0.094], [0.066, 0.066, 0.799], [0.116, 0.116, 0.554], [0.201, 0.201, 0.005], [0.252, 0.252, 0.295], [0.299, 0.299, 0.499], [0.370, 0.370, 0.800], [0.384, 0.384, 0.295], [0.399, 0.399, 0.000], [0.458, 0.458, 0.632], [0.500, 0.500, 0.500], [0.542, 0.542, 0.368], [0.601, 0.601, 0.000], [0.616, 0.616, 0.705], [0.630, 0.630, 0.200], [0.701, 0.701, 0.501], [0.748, 0.748, 0.705], [0.799, 0.799, 0.995], [0.884, 0.884, 0.446], [0.934, 0.934, 0.201], [0.990, 0.990, 0.906], [0.024, 0.024, 0.611], [0.136, 0.136, 0.108], [0.250, 0.250, 0.616], [0.346, 0.346, 0.111], [0.495, 0.495, 0.815], [0.505, 0.505, 0.185], [0.654, 0.654, 0.889], [0.750, 0.750, 0.384], [0.864, 0.864, 0.892], [0.976, 0.976, 0.389]]
}

---

{
  "formula": "In2HgGeRh",
  "functional": "PBE",
  "state": "relaxed",
  "sg": "P4/mmm, No. 123",
  "rho_kg_m3": 7837,
  "ef_mev_per_atom": -101,
  "dos_at_fermi_per_ev_cell": 2.23,
  "m_tot_mub_per_cell": 0.00,
  "lattice_angstrom": [[5.228, 0.000, 0.000], [0.000, 5.228, 0.000], [0.000, 0.000, 4.697]],
  "species": ["In", "In", "Hg", "Ge", "Rh"],
  "frac_coords": [[0.000, 0.500, 0.000], [0.500, 0.000, 0.000], [0.000, 0.000, 0.500], [0.500, 0.500, 0.500], [0.500, 0.500, 0.000]]
}